Here is CsK3I after structural relaxation from Alexandria. Energies are from PBE-GGA.

Summary:
Its crystal system is cubic. As for the total magnetization: 0.00 μB per atom. The energy above the lowest structure with this stoichiometry comes out at 548.6 meV per atom. As for the space group: Pm-3m. The formation energy without anion corrections is 0.30 eV per formula unit.

abc: 8.160 8.160 8.160
angles: 90.00 90.00 90.00
Positions (direct):
1 Cs 0.000 0.000 0.000
2 I 0.500 0.500 0.500
3 K 0.000 0.500 0.000
4 K 0.000 0.000 0.500
5 K 0.500 0.000 0.000